No. 1
Crystalline SrGa2HgRu at its relaxed geometry, computed with GGA-PBE.

abc: 4.8046 4.8046 5.3282
angles: 90.00 90.00 90.00
Space group P4/mmm (No. 123)
Symmetry-distinct sites (fractional):
Sr1 0.0000 0.0000 0.0000 x1
Ga1 0.0000 0.5000 0.5000 x2
Hg1 0.5000 0.5000 0.0000 x1
Ru1 0.5000 0.5000 0.5000 x1

Distance to the lowest polymorph of the same formula   0 meV/atom
Formation energy from the elements   -0.301 eV per atom
Size of the total moment   0.000 μB/cell
DOS at the Fermi energy   2.0 states/eV/f.u.

***

No. 2
Crystalline SrGa2HgRu at its relaxed geometry, computed with GGA-PBE.

abc: 5.6895 5.6895 5.7018
angles: 90.00 90.00 90.00
Space group P4/mmm (No. 123)
Symmetry-distinct sites (fractional):
Sr1 0.0000 0.0000 0.0000 x1
Ga1 0.0000 0.5000 0.0000 x2
Hg1 0.0000 0.0000 0.5000 x1
Ru1 0.5000 0.5000 0.5000 x1

Distance to the lowest polymorph of the same formula   1898 meV/atom
Formation energy from the elements   1.597 eV per atom
Size of the total moment   2.075 μB/cell
DOS at the Fermi energy   7.2 states/eV/f.u.

***

No. 3
Crystalline Ga2HgS at its relaxed geometry, computed with GGA-PBE.

abc: 7.0840 7.0840 7.0840
angles: 90.00 90.00 90.00
Space group Fm-3m (No. 225)
Symmetry-distinct sites (fractional):
Ga1 0.2500 0.2500 0.2500 x8
Hg1 0.0000 0.0000 0.0000 x4
S1 0.0000 0.0000 0.5000 x4

Distance to the lowest polymorph of the same formula   229 meV/atom
Size of the total moment   0.000 μB/cell
Formation energy from raw total energies   0.05 eV/atom
DOS at the Fermi energy   0.4 states/eV/f.u.